# MnCuF3 | Alexandria | GGA+U | optimized geometry
data_MnCuF3
_cell_length_a 4.0659
_cell_length_b 4.0659
_cell_length_c 4.0659
_cell_angle_alpha 90.00
_cell_angle_beta 90.00
_cell_angle_gamma 90.00
_symmetry_space_group_name_H-M 'P m -3 m'
_symmetry_Int_Tables_number 221
_symmetry_space_group_name_Hall '-P 4 2 3'
loop_
_atom_site_label
_atom_site_type_symbol
_atom_site_fract_x
_atom_site_fract_y
_atom_site_fract_z
Mn1 Mn 0.0000 0.0000 0.0000
Cu1 Cu 0.5000 0.5000 0.5000
F1 F 0.0000 0.5000 0.5000
# energy: -4.84 eV/atom
# ΔE to the lowest computed polymorph: 285 meV/atom